CrCu2AgF8, optimized geometry, DFT PBE with a Hubbard U; crystal system = tetragonal; symmetry = I-4m2; calculated volume = 163.37 Å³ per cell; final energy = -53.07 eV/cell
1.0
-3.4078 3.4078 3.5168
3.4078 -3.4078 3.5168
3.4078 3.4078 -3.5168
Cr Cu Ag F
1 2 1 8
Cartesian
0.0000 0.0000 0.0000
3.4078 0.0000 1.7584
0.0000 0.0000 3.5168
0.0000 3.4078 1.7584
1.9442 0.0000 0.4115
4.8715 0.0000 0.4115
3.4078 2.2038 -1.4889
3.4078 -1.4637 3.1053
0.0000 1.2040 2.0278
3.4078 1.4637 3.1053
2.2038 3.4078 1.4889
1.2040 0.0000 5.0057